Below is crystalline Ga5NiPd at its relaxed geometry, with properties calculated at the PBE-GGA level.

Lattice parameters (Å, degrees): 4.306 4.306 6.084 90.00 90.00 90.00
Fractional coordinates of all 7 atoms:
Ga: 0.000 0.000 0.000
Ga: 0.000 0.500 0.265
Ga: 0.000 0.500 0.735
Ga: 0.500 0.000 0.265
Ga: 0.500 0.000 0.735
Ni: 0.500 0.500 0.000
Pd: 0.500 0.500 0.500

* E_tot: -3.890 eV per atom
* total magnetic moment: 0.0006 μB per atom
* SG: P4/mmm, No. 123